No. 1
The following is a GGA-PBE calculation of a relaxed CsRb2UBr6 crystal, from Alexandria.

a b c (Å): 8.331 8.910 14.579
angles (deg): 90.00 124.47 90.00
Element x y z (fractional)
Cs: 0.000 0.000 0.000
Cs: 0.000 0.500 0.500
Rb: 0.214 0.078 0.746
Rb: 0.214 0.422 0.246
Rb: 0.786 0.578 0.754
Rb: 0.786 0.922 0.254
U: 0.500 0.000 0.500
U: 0.500 0.500 0.000
Br: 0.155 0.173 0.435
Br: 0.155 0.327 0.935
Br: 0.258 0.728 0.415
Br: 0.258 0.772 0.915
Br: 0.423 0.065 0.281
Br: 0.423 0.435 0.781
Br: 0.577 0.565 0.219
Br: 0.577 0.935 0.719
Br: 0.742 0.228 0.085
Br: 0.742 0.272 0.585
Br: 0.845 0.673 0.065
Br: 0.845 0.827 0.565

Values from the calculation:
**Formation energy from raw total energies**: -1.597 eV/atom
**Total magnetic moment**: 3.00 μB per formula unit
**E**: -4.01 eV per atom
**Space-group type**: No. 14
**V**: 44.61 Å³ per atom

---

No. 2
The following is a GGA-PBE calculation of a relaxed CsRbUBr6 crystal, from Alexandria.

a b c (Å): 8.450 8.450 14.252
angles (deg): 90.00 90.00 120.00
Element x y z (fractional)
Cs: 0.000 0.000 0.000
Cs: 0.000 0.000 0.500
Rb: 0.333 0.667 0.250
Rb: 0.667 0.333 0.750
U: 0.333 0.667 0.750
U: 0.667 0.333 0.250
Br: 0.061 0.401 0.636
Br: 0.061 0.660 0.864
Br: 0.340 0.401 0.864
Br: 0.340 0.939 0.636
Br: 0.401 0.061 0.136
Br: 0.401 0.340 0.364
Br: 0.599 0.660 0.636
Br: 0.599 0.939 0.864
Br: 0.660 0.061 0.364
Br: 0.660 0.599 0.136
Br: 0.939 0.340 0.136
Br: 0.939 0.599 0.364

Values from the calculation:
**Formation energy from raw total energies**: -1.569 eV/atom
**Total magnetic moment**: 2.00 μB per formula unit
**DOS at the Fermi energy**: 4.96 states/eV/f.u.
**E**: -4.14 eV per atom
**Space-group type**: No. 163
**V**: 48.97 Å³ per atom

---

No. 3
The following is a GGA-PBE calculation of a relaxed Cs2RbV2Br7 crystal, from Alexandria.

a b c (Å): 5.358 5.358 14.732
angles (deg): 100.45 100.45 90.00
Element x y z (fractional)
Cs: 0.180 0.180 0.361
Cs: 0.820 0.820 0.639
Rb: 0.000 0.000 0.000
V: 0.404 0.404 0.808
V: 0.596 0.596 0.192
Br: 0.090 0.590 0.180
Br: 0.312 0.312 0.624
Br: 0.410 0.910 0.820
Br: 0.500 0.500 0.000
Br: 0.590 0.090 0.180
Br: 0.688 0.688 0.376
Br: 0.910 0.410 0.820

Values from the calculation:
**Formation energy from raw total energies**: -1.253 eV/atom
**Total magnetic moment**: 6.00 μB per formula unit
**DOS at the Fermi energy**: 1.97 states/eV/f.u.
**E**: -3.97 eV per atom
**Space-group type**: No. 12
**V**: 34.07 Å³ per atom